## Ba2EuRuO6 (SCAN)

Data for a crystal of Ba2EuRuO6 relaxed with PBEsol.

extended XYZ file:
```
10
Lattice="-2.809 2.305 4.684 0.518 -2.559 5.322 3.094 2.680 4.289" Properties=species:S:1:pos:R:3 pbc="T T T"
Eu 0.401 1.213 7.147
Ru 0.000 0.000 0.000
Ba 0.201 0.606 3.574
Ba 0.602 1.819 10.721
O 0.464 -0.817 6.165
O 1.850 2.002 5.609
O -1.048 0.424 8.686
O 2.129 0.625 8.473
O 0.338 3.243 8.129
O -1.327 1.801 5.821
```

Values from the calculation:
ΔE_f (raw): -2.498 eV per atom
space group: Fm-3m (225)
calculated total energy: -230.01 eV/cell

## Be3CrRe (SCAN)

Data for a crystal of Be3CrRe relaxed with PBEsol.

extended XYZ file:
```
5
Lattice="4.157 0.000 0.000 0.000 4.157 0.000 0.000 0.000 4.157" Properties=species:S:1:pos:R:3 pbc="T T T"
Re 0.000 0.000 0.000
Be 0.000 2.078 0.000
Be 0.000 0.000 2.078
Be 2.078 0.000 0.000
Cr 2.078 2.078 2.078
```

Values from the calculation:
space group: Pm-3m (221)
calculated total energy: -97.75 eV/cell
energy of formation: 0.9578 eV per atom

## Zr2ScCu (SCAN)

Data for a crystal of Zr2ScCu relaxed with PBEsol.

extended XYZ file:
```
4
Lattice="3.245 0.000 0.000 0.000 4.850 0.000 -1.622 -2.425 4.963" Properties=species:S:1:pos:R:3 pbc="T T T"
Cu 1.622 2.425 0.019
Sc 0.000 2.425 2.156
Zr 0.000 0.000 0.012
Zr 1.622 0.000 2.777
```

Values from the calculation:
space group: Imm2 (44)
E above lowest polymorph: 77 meV/atom
calculated total energy: -90.99 eV/cell
energy of formation: -0.0384 eV per atom

## AlFeBiS2 (SCAN)

Data for a crystal of AlFeBiS2 relaxed with PBEsol.

extended XYZ file:
```
5
Lattice="4.568 0.000 0.000 0.000 4.568 0.000 0.000 0.000 4.759" Properties=species:S:1:pos:R:3 pbc="T T T"
S 0.000 2.284 0.000
S 2.284 0.000 0.000
Al 0.000 0.000 0.000
Bi 2.284 2.284 2.379
Fe 0.000 0.000 2.379
```

Values from the calculation:
ΔE_f (raw): 0.377 eV per atom
space group: P4/mmm (123)
calculated total energy: -121.83 eV/cell

## CoAg2Br (SCAN)

Data for a crystal of CoAg2Br relaxed with PBEsol.

extended XYZ file:
```
4
Lattice="3.009 0.000 0.000 -1.505 4.333 -0.192 0.000 -1.678 6.123" Properties=species:S:1:pos:R:3 pbc="T T T"
Co 1.505 2.276 0.978
Br 0.000 2.624 2.742
Ag 0.000 0.304 0.177
Ag 0.000 0.946 4.903
```

Values from the calculation:
ΔE_f (raw): 0.252 eV per atom
space group: Cm (8)
E above lowest polymorph: 0 meV/atom
calculated total energy: -98.49 eV/cell

## LiTe4Br (SCAN)

Data for a crystal of LiTe4Br relaxed with PBEsol.

extended XYZ file:
```
6
Lattice="-4.548 -3.331 -2.765 1.334 -3.640 -4.939 -0.111 -6.251 0.585" Properties=species:S:1:pos:R:3 pbc="T T T"
Br -2.493 -9.916 -5.340
Li 0.000 0.000 0.000
Te -1.248 -4.963 -2.672
Te -1.303 -8.079 -2.381
Te -3.515 -6.624 -4.051
Te -0.583 -6.777 -5.135
```

Values from the calculation:
ΔE_f (raw): -0.068 eV per atom
space group: F-43m (216)
calculated total energy: -171.26 eV/cell

## TiCSCl2 (SCAN)

Data for a crystal of TiCSCl2 relaxed with PBEsol.

extended XYZ file:
```
5
Lattice="-1.879 4.162 1.059 -4.197 -1.994 0.388 0.794 -0.792 4.525" Properties=species:S:1:pos:R:3 pbc="T T T"
S -0.940 2.081 0.529
Cl 0.397 -0.396 2.263
Cl -2.098 -0.997 0.194
C -2.641 0.688 2.986
Ti 0.000 0.000 0.000
```

Values from the calculation:
ΔE_f (raw): 0.436 eV per atom
space group: P4/mmm (123)
calculated total energy: -49.54 eV/cell

## BeRuCl2 (SCAN)

Data for a crystal of BeRuCl2 relaxed with PBEsol.

extended XYZ file:
```
4
Lattice="-2.313 1.359 1.243 -0.487 -0.268 2.903 4.413 7.994 2.984" Properties=species:S:1:pos:R:3 pbc="T T T"
Ru 0.806 4.542 3.565
Be 0.000 0.000 0.000
Cl -0.196 1.416 1.603
Cl 1.809 7.669 5.527
```

Values from the calculation:
ΔE_f (raw): -0.033 eV per atom
space group: R-3m (166)
E above lowest polymorph: 16 meV/atom
calculated total energy: -55.27 eV/cell

## La2GaN3 (SCAN)

Data for a crystal of La2GaN3 relaxed with PBEsol.

extended XYZ file:
```
24
Lattice="5.643 0.000 0.013 2.821 5.430 0.006 0.758 0.000 11.875" Properties=species:S:1:pos:R:3 pbc="T T T"
La 4.276 3.183 1.809
La 7.388 3.183 4.154
La 1.410 1.144 0.890
La 4.612 1.144 5.060
La 4.946 2.247 10.085
La 4.610 4.286 6.833
La 1.834 2.247 7.740
La 7.812 4.286 11.004
Ga 4.601 5.413 4.020
Ga 7.063 5.413 1.943
Ga 2.159 0.016 9.951
Ga 4.621 0.016 7.874
N 4.436 1.095 0.332
N 6.211 0.097 8.919
N 3.011 5.332 2.975
N 3.011 1.109 2.975
N 6.211 4.321 8.919
N 1.586 1.095 5.618
N 4.786 4.335 11.561
N 4.284 1.938 7.485
N 6.727 3.492 1.554
N 4.938 3.492 4.409
N 7.636 4.335 6.276
N 2.495 1.938 10.340
```

Values from the calculation:
ΔE_f (raw): -1.301 eV per atom
space group: C2/c (15)
calculated total energy: -552.95 eV/cell

## CoSi2Ru (SCAN)

Data for a crystal of CoSi2Ru relaxed with PBEsol.

extended XYZ file:
```
4
Lattice="2.633 0.000 0.000 0.000 2.633 0.000 0.000 0.000 7.099" Properties=species:S:1:pos:R:3 pbc="T T T"
Co 0.000 0.000 3.487
Ru 1.316 1.316 5.275
Si 0.000 0.000 6.964
Si 1.316 1.316 2.022
```

Values from the calculation:
ΔE_f (raw): 0.083 eV per atom
space group: P4mm (99)
calculated total energy: -71.83 eV/cell

## SbTe2BrN (SCAN)

Data for a crystal of SbTe2BrN relaxed with PBEsol.

extended XYZ file:
```
5
Lattice="3.845 0.000 0.000 0.000 5.882 0.000 0.000 0.000 5.882" Properties=species:S:1:pos:R:3 pbc="T T T"
Sb 0.000 0.000 0.000
Te 0.000 0.000 2.941
Te 0.000 2.941 0.000
Br 1.922 2.941 2.941
N 1.922 0.000 0.000
```

Values from the calculation:
ΔE_f (raw): 0.932 eV per atom
space group: P4/mmm (123)
calculated total energy: -135.85 eV/cell

## Ta4AlSb (SCAN)

Data for a crystal of Ta4AlSb relaxed with PBEsol.

extended XYZ file:
```
6
Lattice="-1.208 -5.314 0.357 -0.718 -2.949 -4.541 3.706 -3.745 -1.438" Properties=species:S:1:pos:R:3 pbc="T T T"
Al 1.335 -9.006 -4.216
Sb 0.000 0.000 0.000
Ta 0.669 -4.514 -2.113
Ta 2.508 -6.373 -2.827
Ta 0.070 -7.152 -1.936
Ta 0.313 -5.978 -4.367
```

Values from the calculation:
ΔE_f (raw): 0.327 eV per atom
space group: F-43m (216)
calculated total energy: -309.38 eV/cell

## LiCoP2 (SCAN)

Data for a crystal of LiCoP2 relaxed with PBEsol.

extended XYZ file:
```
4
Lattice="2.692 0.000 0.029 0.000 2.694 0.000 -0.082 0.000 6.689" Properties=species:S:1:pos:R:3 pbc="T T T"
P 2.626 0.000 5.314
P -0.016 0.000 1.404
Co 1.346 1.347 0.015
Li 1.305 1.347 3.359
```

Values from the calculation:
space group: P2/m (10)
E above lowest polymorph: 0 meV/atom
calculated total energy: -41.47 eV/cell
energy of formation: -0.2454 eV per atom

## Cu3HPd (SCAN)

Data for a crystal of Cu3HPd relaxed with PBEsol.

extended XYZ file:
```
5
Lattice="-1.692 2.474 -2.182 -1.521 -2.761 -1.951 -2.927 0.005 2.276" Properties=species:S:1:pos:R:3 pbc="T T T"
H 0.000 0.000 0.000
Cu -0.761 -1.381 -0.976
Cu -1.463 0.002 1.138
Cu -0.846 1.237 -1.091
Pd -3.070 -0.141 -0.929
```

Values from the calculation:
space group: Pm-3m (221)
calculated total energy: -81.72 eV/cell

## Tc2NiCl (SCAN)

Data for a crystal of Tc2NiCl relaxed with PBEsol.

extended XYZ file:
```
4
Lattice="-1.161 -2.071 1.583 -1.765 -0.930 -2.511 4.626 -3.958 -1.786" Properties=species:S:1:pos:R:3 pbc="T T T"
Cl 0.850 -3.480 -1.357
Ni -0.882 -0.465 -1.255
Tc 0.307 -1.795 0.449
Tc 3.159 -4.234 -0.652
```

Values from the calculation:
ΔE_f (raw): 0.287 eV per atom
space group: Pmmm (47)
E above lowest polymorph: 0 meV/atom
calculated total energy: -93.12 eV/cell

## Ir2OsRu (SCAN)

Data for a crystal of Ir2OsRu relaxed with PBEsol.

extended XYZ file:
```
4
Lattice="2.691 0.000 0.000 0.000 3.809 0.000 0.000 0.000 5.399" Properties=species:S:1:pos:R:3 pbc="T T T"
Ru 1.346 1.904 4.037
Ir 0.000 0.000 5.380
Ir 1.346 1.904 1.365
Os 0.000 0.000 2.716
```

Values from the calculation:
space group: Pmm2 (25)
E above lowest polymorph: 19 meV/atom
calculated total energy: -248.90 eV/cell
energy of formation: 0.0019 eV per atom

## Y2InPb (SCAN)

Data for a crystal of Y2InPb relaxed with PBEsol.

extended XYZ file:
```
4
Lattice="3.466 0.000 0.000 0.000 5.548 0.005 0.000 -1.236 5.409" Properties=species:S:1:pos:R:3 pbc="T T T"
Pb 1.733 0.000 0.000
Y 0.000 -0.618 2.704
Y 0.000 2.774 0.003
In 1.733 2.156 2.707
```

Values from the calculation:
space group: Cmmm (65)
calculated total energy: -167.52 eV/cell
energy of formation: -0.6664 eV per atom

## TaW (SCAN)

Data for a crystal of TaW relaxed with PBEsol.

extended XYZ file:
```
16
Lattice="5.323 0.000 0.003 0.953 5.476 0.000 0.469 2.738 9.061" Properties=species:S:1:pos:R:3 pbc="T T T"
Ta 4.313 5.834 3.378
Ta 2.431 2.380 5.685
Ta 1.437 4.444 3.349
Ta 4.354 5.824 7.938
Ta 2.846 5.136 5.694
Ta 5.307 3.769 5.715
Ta 3.898 3.077 3.370
Ta 2.390 2.389 1.125
W 0.939 1.702 3.393
W 4.858 1.026 1.109
W 1.887 7.187 7.955
W 5.805 6.511 5.671
W 1.443 4.436 7.954
W 3.850 3.084 7.970
W 5.301 3.777 1.110
W 2.894 5.129 1.094
```

Values from the calculation:
space group: P-1 (2)
calculated total energy: -1091.43 eV/cell
energy of formation: -0.0785 eV per atom

## Al3AgSb (SCAN)

Data for a crystal of Al3AgSb relaxed with PBEsol.

extended XYZ file:
```
5
Lattice="-1.766 -2.839 -4.013 3.781 -3.509 0.819 -3.141 -2.628 3.242" Properties=species:S:1:pos:R:3 pbc="T T T"
Sb 0.000 0.000 0.000
Al 1.891 -1.755 0.409
Al -1.570 -1.314 1.621
Al -0.883 -1.420 -2.006
Ag -0.563 -4.488 0.024
```

Values from the calculation:
ΔE_f (raw): 1.079 eV per atom
space group: Pm-3m (221)
calculated total energy: -86.49 eV/cell

## Mg2TlCu2 (SCAN)

Data for a crystal of Mg2TlCu2 relaxed with PBEsol.

extended XYZ file:
```
5
Lattice="4.119 0.000 0.000 0.000 4.119 0.000 -2.059 -2.059 5.567" Properties=species:S:1:pos:R:3 pbc="T T T"
Tl 0.000 0.000 0.000
Mg 0.000 2.059 2.783
Mg 2.059 0.000 2.783
Cu 0.000 0.000 4.412
Cu 2.059 2.059 1.155
```

Values from the calculation:
space group: I4/mmm (139)
E above lowest polymorph: 245 meV/atom
calculated total energy: -111.81 eV/cell
energy of formation: 0.1787 eV per atom

## LaBe2Tl (SCAN)

Data for a crystal of LaBe2Tl relaxed with PBEsol.

extended XYZ file:
```
4
Lattice="-2.818 1.610 -3.431 -2.161 -3.037 -2.900 -4.672 -0.627 0.292" Properties=species:S:1:pos:R:3 pbc="T T T"
Be -2.413 -0.513 -1.510
Be -7.239 -1.540 -4.529
Tl -4.826 -1.027 -3.020
La 0.000 0.000 0.000
```

Values from the calculation:
space group: Fm-3m (225)
E above lowest polymorph: 0 meV/atom
calculated total energy: -123.48 eV/cell
energy of formation: 0.1721 eV per atom

## ZnCu2Si (SCAN)

Data for a crystal of ZnCu2Si relaxed with PBEsol.

extended XYZ file:
```
4
Lattice="3.186 0.000 0.000 0.000 3.186 0.000 0.000 0.000 4.961" Properties=species:S:1:pos:R:3 pbc="T T T"
Cu 0.000 0.000 4.940
Cu 1.593 1.593 1.288
Si 0.000 0.000 2.390
Zn 1.593 1.593 3.785
```

Values from the calculation:
ΔE_f (raw): 0.047 eV per atom
space group: P4mm (99)
calculated total energy: -53.74 eV/cell

## Al2PtPb (SCAN)

Data for a crystal of Al2PtPb relaxed with PBEsol.

extended XYZ file:
```
4
Lattice="3.352 0.000 0.000 0.000 3.242 0.000 0.000 0.000 7.112" Properties=species:S:1:pos:R:3 pbc="T T T"
Pb 0.000 0.000 3.647
Al 0.000 0.000 6.878
Al 1.676 1.621 1.389
Pt 1.676 1.621 5.868
```

Values from the calculation:
space group: Pmm2 (25)
calculated total energy: -162.67 eV/cell
energy of formation: -0.2984 eV per atom

## LiCu2Pt (SCAN)

Data for a crystal of LiCu2Pt relaxed with PBEsol.

extended XYZ file:
```
4
Lattice="-0.376 2.286 -3.382 -1.763 -1.572 -3.350 -3.697 1.320 -1.181" Properties=species:S:1:pos:R:3 pbc="T T T"
Pt -1.459 0.508 -1.978
Cu 0.000 0.000 0.000
Cu -4.377 1.525 -5.935
Li -2.918 1.017 -3.956
```

Values from the calculation:
space group: F-43m (216)
E above lowest polymorph: 51 meV/atom
calculated total energy: -103.99 eV/cell
energy of formation: -0.2512 eV per atom

## GeMoBr2 (SCAN)

Data for a crystal of GeMoBr2 relaxed with PBEsol.

extended XYZ file:
```
4
Lattice="-1.405 1.374 2.444 -2.457 -1.381 1.375 4.664 -4.606 7.281" Properties=species:S:1:pos:R:3 pbc="T T T"
Mo 0.000 0.000 0.000
Ge 0.401 -2.307 5.551
Br -2.377 -1.156 5.319
Br 3.179 -3.458 5.782
```

Values from the calculation:
ΔE_f (raw): 0.607 eV per atom
space group: R-3m (166)
calculated total energy: -90.46 eV/cell

## AuBr2Cl (SCAN)

Data for a crystal of AuBr2Cl relaxed with PBEsol.

extended XYZ file:
```
4
Lattice="3.736 0.000 0.000 -1.868 3.665 0.000 0.000 0.000 7.708" Properties=species:S:1:pos:R:3 pbc="T T T"
Au 1.868 0.000 0.000
Br 0.000 0.000 6.032
Br 0.000 0.000 1.676
Cl 1.868 0.000 3.854
```

Values from the calculation:
ΔE_f (raw): -0.031 eV per atom
space group: Cmmm (65)
E above lowest polymorph: 0 meV/atom
calculated total energy: -116.18 eV/cell

## Sc2TeSe (SCAN)

Data for a crystal of Sc2TeSe relaxed with PBEsol.

extended XYZ file:
```
4
Lattice="3.603 0.000 0.000 0.000 4.642 0.014 -1.802 -0.057 5.204" Properties=species:S:1:pos:R:3 pbc="T T T"
Sc 0.000 0.560 0.189
Sc 0.000 2.888 2.446
Se 1.802 2.891 0.069
Te 1.802 0.567 2.521
```

Values from the calculation:
ΔE_f (raw): -1.274 eV per atom
space group: Cm (8)
E above lowest polymorph: 224 meV/atom
calculated total energy: -90.90 eV/cell

## In2NiBrO (SCAN)

Data for a crystal of In2NiBrO relaxed with PBEsol.

extended XYZ file:
```
5
Lattice="-1.093 1.873 -3.002 -4.595 1.457 2.583 2.487 4.487 1.894" Properties=species:S:1:pos:R:3 pbc="T T T"
Ni -1.600 3.909 0.738
O -0.547 0.937 -1.501
Br 0.000 0.000 0.000
In 1.244 2.243 0.947
In -2.297 0.728 1.291
```

Values from the calculation:
ΔE_f (raw): 0.749 eV per atom
space group: P4/mmm (123)
calculated total energy: -104.89 eV/cell